Record 1
An optimized crystal structure of Dy4Al3Ga. Source: the Alexandria database, functional PBE-GGA.

As for the calculated density: 7.169 g cm⁻³. As for the magnetization: 0.00 μB per atom. For the density of states at the Fermi level, the calculation gives 3.154 states/eV/cell. The final energy is -4.526 eV per atom.

Cell: 3.5903 3.5903 14.3873 Å, 90.00 90.00 90.00°
Fractional positions:
Dy (0.0000, 0.0000, 0.6251)
Dy (0.0000, 0.0000, 0.3749)
Dy (0.0000, 0.0000, 0.8767)
Ga (0.5000, 0.5000, 0.0000)
Al (0.5000, 0.5000, 0.7505)
Al (0.5000, 0.5000, 0.5000)
Dy (0.0000, 0.0000, 0.1233)
Al (0.5000, 0.5000, 0.2495)



Record 2
An optimized crystal structure of Ca5U3As8. Source: the Alexandria database, functional PBE-GGA.

As for the calculated density: 6.062 g cm⁻³. As for the magnetization: 0.25 μB per atom. For the density of states at the Fermi level, the calculation gives 18.915 states/eV/cell. The final energy is -6.079 eV per atom.

Cell: 8.3730 8.3730 8.3680 Å, 59.98 59.98 60.00°
Fractional positions:
As (0.2500, 0.2500, 0.7295)
As (0.7566, 0.7566, 0.7301)
As (0.7500, 0.7500, 0.2705)
As (0.2434, 0.2434, 0.2699)
As (0.2500, 0.7705, 0.7295)
U (0.0000, 0.5000, 0.5000)
As (0.7500, 0.2295, 0.2705)
U (0.0000, 0.0000, 0.5000)
Ca (0.0000, 0.5000, 0.0000)
Ca (0.0000, 0.0000, 0.0000)
Ca (0.5000, 0.5000, 0.0000)
As (0.2295, 0.7500, 0.2705)
Ca (0.5000, 0.5000, 0.5000)
As (0.7705, 0.2500, 0.7295)
Ca (0.5000, 0.0000, 0.0000)
U (0.5000, 0.0000, 0.5000)



Record 3
An optimized crystal structure of Er2InSn. Source: the Alexandria database, functional PBE-GGA.

As for the calculated density: 8.633 g cm⁻³. As for the magnetization: 0.00 μB per atom. For the density of states at the Fermi level, the calculation gives 3.316 states/eV/cell. The final energy is -4.537 eV per atom.

Cell: 4.5143 4.2782 6.0913 Å, 90.00 111.75 90.00°
Fractional positions:
In (0.3557, 0.0000, 0.7115)
Sn (0.5354, 0.5000, 0.0708)
Er (0.0823, 0.0000, 0.1645)
Er (0.8112, 0.5000, 0.6223)



Q: What is the formula in the third record?
A: Er2InSn



Q: Which formula does entry 2 have?
A: Ca5U3As8



Q: Look up the calculated density of the second one.
A: 6.062 g cm⁻³